The following is a DFT calculation (PBE+U) of a relaxed structure of Li2VO2F.

Fermi-level density of states ... 1.1 states/eV/cell
Relative energy among the computed polymorphs ... 105.6 meV per atom
Crystal system ... monoclinic
Calculated volume ... 9.14 Å³ per atom
Theoretical density ... 3508 kg/m³
Total moment ... 0.3333 μB/atom

Cell: 2.9864 5.1007 7.1991 Å, 89.15 90.00 90.00°
Atoms (fractional coordinates):
O 0.0000 0.1780 0.1768
F 0.5000 0.3469 0.8283
Li 0.5000 0.0000 0.0000
Li 0.0000 0.1672 0.6792
V 0.5000 0.2996 0.3411
Li 0.0000 0.5000 0.0000
F 0.5000 0.6531 0.1717
O 0.0000 0.5000 0.5000
O 0.5000 0.0000 0.5000
V 0.5000 0.7004 0.6589
Li 0.0000 0.8328 0.3208
O 0.0000 0.8220 0.8232